[1]
This record from Alexandria describes a relaxed structure of TlCoSi2. The functional is PBE.

The uncorrected formation energy comes out at 0.3568 eV per atom. The distance to the lowest polymorph of the same formula is 1.40 eV/f.u. The theoretical density is 7.90 Mg/m³. For the total DFT energy (no corrections), the calculation gives -18.9 eV for the cell shown.

Structure (extended XYZ):
```
4
Lattice="7.838 -0.062 -0.036 7.214 3.067 -0.036 7.214 1.440 2.708" Properties=species:S:1:pos:R:3 pbc="T T T"
Co 16.355 3.265 1.935
Si 0.180 0.036 0.021
Si 5.883 1.175 0.696
Tl 10.980 2.192 1.299
```

=====

[2]
This record from Alexandria describes a relaxed structure of TlCoSi2. The functional is PBE.

The uncorrected formation energy comes out at 0.2015 eV per atom. The distance to the lowest polymorph of the same formula is 0.78 eV/f.u. The theoretical density is 7.47 Mg/m³. For the total DFT energy (no corrections), the calculation gives -19.5 eV for the cell shown.

Structure (extended XYZ):
```
4
Lattice="-3.351 -0.347 -1.006 1.042 -1.829 -2.840 0.144 -5.802 1.523" Properties=species:S:1:pos:R:3 pbc="T T T"
Co -0.614 -6.543 -1.841
Si 0.815 -1.823 -2.088
Si -1.377 -1.044 -1.197
Tl 0.645 -4.213 -0.695
```